This record from Alexandria describes crystalline Li2CoNiO4 at its relaxed geometry. The functional is PBE with a Hubbard U.

```
Li2CoNiO4
1.0
1.4841 4.9245 -0.0183
-1.4841 4.9245 -0.0183
0.0000 0.9888 4.9086
Li Co Ni O
2 1 1 4
Direct
0.2477 0.2477 0.2550
0.7523 0.7523 0.7450
0.5000 0.5000 0.5000
0.0000 0.0000 0.0000
0.3864 0.3864 0.8452
0.8853 0.8853 0.3805
0.1147 0.1147 0.6195
0.6136 0.6136 0.1548
```

## Properties
- DOS at the Fermi energy (states/eV per atom) = 0.32
- energy relative to the lowest polymorph listed for this composition (meV per atom) = 53.0
- calculated total energy (eV/atom) = -5.2245
- total moment (μB per cell) = 5.000